Record 1
This record from Alexandria describes Nd2CdRh2 at its PBEsol-relaxed geometry. The functional is SCAN.

Summary:
For the formation energy, the calculation gives -3.33 eV per formula unit.

The structure in CIF format:
```
data_Nd2CdRh2
_chemical_formula_sum 'Nd4 Cd2 Rh4'
_cell_length_a 7.433
_cell_length_b 7.433
_cell_length_c 3.904
_cell_angle_alpha 90.00
_cell_angle_beta 90.00
_cell_angle_gamma 90.00
_space_group_name_H-M_alt 'P 4/m b m'
_space_group_IT_number 127
_space_group_name_Hall '-P 4 2ab'
loop_
_atom_site_label
_atom_site_fract_x
_atom_site_fract_y
_atom_site_fract_z
Nd1 0.170 0.330 0.000
Cd1 0.000 0.000 0.500
Rh1 0.133 0.633 0.500
```

***

Record 2
This record from Alexandria describes Nd6CdSi2S14 at its PBEsol-relaxed geometry. The functional is SCAN.

Summary:
As for the formation energy (no corrections): -1858 meV/atom.

The structure in CIF format:
```
data_Nd6CdSi2S14
_chemical_formula_sum 'Nd6 Cd1 Si2 S14'
_cell_length_a 10.1092
_cell_length_b 10.1092
_cell_length_c 5.6506
_cell_angle_alpha 90.00
_cell_angle_beta 90.00
_cell_angle_gamma 120.00
_space_group_name_H-M_alt 'P 3'
_space_group_IT_number 143
_space_group_name_Hall 'P 3'
loop_
_atom_site_label
_atom_site_fract_x
_atom_site_fract_y
_atom_site_fract_z
Nd1 0.0251 0.4580 0.0000
Nd2 0.3086 0.2093 0.4950
Cd1 0.6667 0.3333 0.7411
Si1 0.0000 0.0000 0.0788
Si2 0.3333 0.6667 0.5863
S1 0.0000 0.0000 0.7074
S2 0.0774 0.2221 0.2261
S3 0.1885 0.7443 0.7312
S4 0.3333 0.6667 0.2141
S5 0.4087 0.2435 0.9809
S6 0.4970 0.0763 0.4903
```